## Mo2WF (GGA+U)

Data for an optimized crystal structure of Mo2WF.

Calculated values
- V: 15.63 A^3/atom
- Energy above the most stable polymorph in this dataset: 0.000 eV per atom
- N(E_F): 6.1 states/eV per cell

a = 6.5421 Å, b = 6.5421 Å, c = 5.8430 Å
α = 90.00°, β = 90.00°, γ = 90.00°
Element x y z (fractional)
Mo 0.1983 0.2500 0.1250
Mo 0.2500 0.6983 0.3750
Mo 0.2500 0.8017 0.8750
Mo 0.3017 0.2500 0.6250
Mo 0.6983 0.7500 0.6250
Mo 0.7500 0.1983 0.8750
Mo 0.7500 0.3017 0.3750
Mo 0.8017 0.7500 0.1250
W 0.0000 0.0000 0.5000
W 0.0000 0.5000 0.7500
W 0.5000 0.0000 0.2500
W 0.5000 0.5000 0.0000
F 0.0000 0.0000 0.0000
F 0.0000 0.5000 0.2500
F 0.5000 0.0000 0.7500
F 0.5000 0.5000 0.5000